## Rb2PmVF6 (PBE+U)

Data for an optimized crystal structure of Rb2PmVF6.

Lattice parameters (Å, degrees): 6.0733 6.7585 8.9518 90.00 90.00 90.00
Last column: magnetic moment on the atom in μB.
Fractional coordinates of all 20 atoms:
F1 0.2382 0.0299 0.5000  0.02
F2 0.0000 0.7547 0.7574  0.00
F3 0.7618 0.0299 0.5000  0.02
F4 0.5000 0.2453 0.2574  0.00
F5 0.5000 0.2453 0.7426  0.00
F6 0.2618 0.9701 0.0000  0.02
F7 0.7382 0.9701 0.0000  0.02
F8 0.7650 0.4584 0.5000  0.02
F9 0.0000 0.7547 0.2426  0.00
F10 0.7350 0.5416 0.0000  0.02
F11 0.2350 0.4584 0.5000  0.02
F12 0.2650 0.5416 0.0000  0.02
Rb1 0.0000 0.2415 0.2636  0.02
Rb2 0.0000 0.2415 0.7364  0.02
Rb3 0.5000 0.7585 0.7636  0.02
Rb4 0.5000 0.7585 0.2364  0.02
Pm1 0.5000 0.2562 0.0000  0.30
Pm2 0.0000 0.7438 0.5000  0.30
V1 0.0000 0.7537 0.0000  2.75
V2 0.5000 0.2463 0.5000  2.75

Values from the calculation:
VASP energy: -5.423 eV per atom